A relaxed Cr2InIr crystal, computed with PBE.

Output
The calculation puts the calculated density at 11.641 Mg/m³. The calculation puts the energy relative to the elements at 121 kJ/mol of formula units. The calculation puts the total energy at -7.40 eV/atom. Its crystal system is orthorhombic.

Cell and atoms, written as POSCAR:
```
Cr2InIr
1.0
3.505 0.000 0.000
0.000 3.975 0.000
0.000 0.000 8.418
Cr In Ir
4 2 2
Direct
0.000 0.000 0.246 Cr
0.000 0.000 0.754 Cr
0.500 0.500 0.254 Cr
0.500 0.500 0.746 Cr
0.000 0.500 0.000 In
0.500 0.000 0.500 In
0.000 0.500 0.500 Ir
0.500 0.000 0.000 Ir
```